# Li2AcNd2Ga2 PBE relaxed
# - DOS(E_F) (states/eV/f.u.) = 5.2
# - crystal system = trigonal
# - E_form (eV/atom) = -0.283
data_Li2AcNd2Ga2
_symmetry_space_group_name_H-M 'R -3 m'
_symmetry_Int_Tables_number 166
_symmetry_space_group_name_Hall '-R 3 2"'
_cell_length_a 4.7833
_cell_length_b 4.7833
_cell_length_c 27.9605
_cell_angle_alpha 90.00
_cell_angle_beta 90.00
_cell_angle_gamma 120.00
loop_
_atom_site_label
_atom_site_type_symbol
_atom_site_fract_x
_atom_site_fract_y
_atom_site_fract_z
Li1 Li 0.0000 0.0000 0.0907
Ac1 Ac 0.0000 0.0000 0.5000
Nd1 Nd 0.0000 0.0000 0.3711
Ga1 Ga 0.0000 0.0000 0.2455